A plane-wave DFT calculation with GGA-PBE was carried out for a geometry-optimized Nd2SmDy5 structure.

Cell and atoms, written as POSCAR:
```
Nd2SmDy5
1.0
9.141 0.000 -3.910
-1.002 6.026 -2.343
-0.823 -1.770 10.715
Nd Sm Dy
4 2 10
direct
0.175 0.460 0.843
0.668 0.960 0.843
0.825 0.540 0.157
0.332 0.040 0.157
0.000 0.000 0.500
0.500 0.500 0.500
0.490 0.447 0.802
0.941 0.750 0.000
0.059 0.250 0.000
0.891 0.629 0.604
0.109 0.371 0.396
0.713 0.129 0.604
0.287 0.871 0.396
0.510 0.553 0.198
0.312 0.947 0.802
0.688 0.053 0.198
```

Properties
- formation enthalpy at 0 K (eV/atom) = 0.17
- energy relative to the lowest polymorph listed for this composition (meV per atom) = 149.4